# ZrMnTcP2, optimized geometry, DFT PBE
# Energy of formation from the pure elements   0.386 eV per atom
# Uncorrected energy   -7.39 eV per atom
data_ZrMnTcP2
_space_group_name_H-M_alt 'P 4/m m m'
_space_group_IT_number 123
_space_group_name_Hall '-P 4 2'
_cell_length_a 4.364
_cell_length_b 4.364
_cell_length_c 4.433
_cell_angle_alpha 90.00
_cell_angle_beta 90.00
_cell_angle_gamma 90.00
loop_
_atom_site_label
_atom_site_type_symbol
_atom_site_fract_x
_atom_site_fract_y
_atom_site_fract_z
Zr1 Zr 0.000 0.000 0.000
Mn1 Mn 0.500 0.500 0.500
Tc1 Tc 0.500 0.500 0.000
P1 P 0.000 0.500 0.500